Record 1
VASP calculation (GGA-PBE) on InPtPb2 after structural relaxation.

Calculated values
Energy of formation from the pure elements, eV per atom: 0.072

Cell: 5.5099 5.5099 5.5099 Å, 129.06 129.06 74.91°
Closest atoms and distances in Å follow each position.
Sites, in units of the cell vectors:
In 0.7500 0.2500 0.5000  4 Pt 3.22, 8 Pb 3.22-3.35
Pb 0.0000 0.0000 0.0000  4 Pb 3.22, 4 In 3.22, 4 Pt 3.35
Pb 0.2500 0.7500 0.5000  4 Pb 3.22, 4 Pt 3.22, 4 In 3.35
Pt 0.5000 0.5000 0.0000  4 In 3.22, 8 Pb 3.22-3.35

Record 2
VASP calculation (GGA-PBE) on InPt3Pb after structural relaxation.

Calculated values
Energy of formation from the pure elements, eV per atom: 0.645

Cell: 5.0014 5.0014 5.0014 Å, 90.00 90.00 90.00°
Closest atoms and distances in Å follow each position.
Sites, in units of the cell vectors:
Pb 0.5000 0.5000 0.5000  12 Pt 3.54
Pt 0.0000 0.5000 0.0000  2 In 2.50
Pt 0.0000 0.0000 0.5000  2 In 2.50
Pt 0.5000 0.0000 0.0000  2 In 2.50
In 0.0000 0.0000 0.0000  6 Pt 2.50

Record 3
VASP calculation (GGA-PBE) on InPtPb2 after structural relaxation.

Calculated values
Energy of formation from the pure elements, eV per atom: -0.102

Cell: 8.3491 8.3491 8.3491 Å, 27.45 27.45 27.45°
Closest atoms and distances in Å follow each position.
Sites, in units of the cell vectors:
In 0.7677 0.7677 0.7677  3 Pt 2.72
Pb 0.0057 0.0057 0.0057  3 In 3.24, 3 Pb 3.46
Pb 0.2311 0.2311 0.2311  3 Pt 2.83
Pt 0.4954 0.4954 0.4954  3 In 2.72, 3 Pb 2.83

Record 4
VASP calculation (GGA-PBE) on InPt6Pb after structural relaxation.

Calculated values
Energy of formation from the pure elements, eV per atom: -0.251

Cell: 4.0846 4.0846 8.1948 Å, 90.00 90.00 90.00°
Closest atoms and distances in Å follow each position.
Sites, in units of the cell vectors:
In 0.0000 0.0000 0.0000  12 Pt 2.85-2.89
Pt 0.5000 0.5000 0.0000  8 Pt 2.85, 4 In 2.89
Pt 0.5000 0.5000 0.5000  4 Pb 2.89, 8 Pt 2.94
Pt 0.5000 0.0000 0.2422  2 In 2.85, 8 Pt 2.85-2.94, 2 Pb 2.94
Pt 0.5000 0.0000 0.7578  8 Pt 2.85-2.94, 2 In 2.85, 2 Pb 2.94
Pt 0.0000 0.5000 0.2422  2 In 2.85, 8 Pt 2.85-2.94, 2 Pb 2.94
Pt 0.0000 0.5000 0.7578  2 In 2.85, 8 Pt 2.85-2.94, 2 Pb 2.94
Pb 0.0000 0.0000 0.5000  12 Pt 2.89-2.94

Record 5
VASP calculation (GGA-PBE) on Rb2InPtPb after structural relaxation.

Calculated values
Energy of formation from the pure elements, eV per atom: 0.719

Cell: 6.8550 5.6776 6.8550 Å, 90.00 90.00 90.00°
Closest atoms and distances in Å follow each position.
Sites, in units of the cell vectors:
Pb 0.0000 0.5000 0.0000  2 In 2.84
Rb 0.0000 0.0000 0.5000  2 In 3.43
Rb 0.5000 0.0000 0.0000  2 In 3.43
Pt 0.5000 0.5000 0.5000  8 Rb 4.45, 4 Pb 4.85
In 0.0000 0.0000 0.0000  2 Pb 2.84

Record 6
VASP calculation (GGA-PBE) on ScInPtPb2 after structural relaxation.

Calculated values
Energy of formation from the pure elements, eV per atom: 0.208

Cell: 5.4504 5.0978 5.4504 Å, 90.00 90.00 90.00°
Closest atoms and distances in Å follow each position.
Sites, in units of the cell vectors:
Pb 0.0000 0.0000 0.5000  2 Pt 2.73
Pb 0.5000 0.0000 0.0000  2 Pt 2.73
Sc 0.5000 0.5000 0.5000  8 Pb 3.73, 4 In 3.85
Pt 0.0000 0.0000 0.0000  2 In 2.55, 4 Pb 2.73
In 0.0000 0.5000 0.0000  2 Pt 2.55

Record 7
VASP calculation (GGA-PBE) on In2SiPtPb after structural relaxation.

Calculated values
ΔE_f (raw), meV/atom: 213

Cell: 5.3738 4.5591 5.3738 Å, 90.00 90.00 90.00°
Closest atoms and distances in Å follow each position.
Sites, in units of the cell vectors:
Pb 0.5000 0.5000 0.5000  8 In 3.52, 4 Pt 3.80
Si 0.0000 0.0000 0.0000  2 Pt 2.28
Pt 0.0000 0.5000 0.0000  2 Si 2.28
In 0.0000 0.0000 0.5000  2 Si 2.69
In 0.5000 0.0000 0.0000  2 Si 2.69

Record 8
VASP calculation (GGA-PBE) on In2SiPtPb after structural relaxation.

Calculated values
ΔE_f (raw), meV/atom: 63

Cell: 5.3928 4.5600 5.3928 Å, 90.00 90.00 90.00°
Closest atoms and distances in Å follow each position.
Sites, in units of the cell vectors:
Pb 0.5000 0.5000 0.5000  8 In 3.53, 4 Si 3.81
Si 0.0000 0.5000 0.0000  2 Pt 2.28
Pt 0.0000 0.0000 0.0000  2 Si 2.28
In 0.0000 0.0000 0.5000  2 Pt 2.70
In 0.5000 0.0000 0.0000  2 Pt 2.70

Record 9
VASP calculation (GGA-PBE) on SrIn2PtPb after structural relaxation.

Calculated values
Energy of formation from the pure elements, eV per atom: -0.349

Cell: 5.2062 5.2062 5.7667 Å, 90.00 90.00 90.00°
Closest atoms and distances in Å follow each position.
Sites, in units of the cell vectors:
Pb 0.5000 0.5000 0.5000  4 Sr 3.68, 8 In 3.88
Sr 0.0000 0.0000 0.5000  2 Pt 2.88
Pt 0.0000 0.0000 0.0000  4 In 2.60, 2 Sr 2.88
In 0.0000 0.5000 0.0000  2 Pt 2.60
In 0.5000 0.0000 0.0000  2 Pt 2.60

Record 10
VASP calculation (GGA-PBE) on InTcPtPb2 after structural relaxation.

Calculated values
Energy of formation from the pure elements, eV per atom: 0.537

Cell: 5.3121 5.3121 4.9724 Å, 90.00 90.00 90.00°
Closest atoms and distances in Å follow each position.
Sites, in units of the cell vectors:
Pb 0.0000 0.5000 0.0000  2 Tc 2.66
Pb 0.5000 0.0000 0.0000  2 Tc 2.66
Tc 0.0000 0.0000 0.0000  2 Pt 2.49, 4 Pb 2.66
Pt 0.0000 0.0000 0.5000  2 Tc 2.49
In 0.5000 0.5000 0.5000  8 Pb 3.64, 4 Pt 3.76

Record 11
VASP calculation (GGA-PBE) on In2TePtPb after structural relaxation.

Calculated values
ΔE_f (raw), meV/atom: -270

Cell: 5.2082 5.2082 5.5180 Å, 90.00 90.00 90.00°
Closest atoms and distances in Å follow each position.
Sites, in units of the cell vectors:
Pb 0.0000 0.0000 0.5000  2 Pt 2.76
Te 0.5000 0.5000 0.5000  4 Pb 3.68, 8 In 3.79
Pt 0.0000 0.0000 0.0000  4 In 2.60, 2 Pb 2.76
In 0.0000 0.5000 0.0000  2 Pt 2.60
In 0.5000 0.0000 0.0000  2 Pt 2.60

Record 12
VASP calculation (GGA-PBE) on Pu2In9Pb after structural relaxation.

Calculated values
Energy of formation from the pure elements, eV per atom: -0.116

Cell: 4.7162 4.7162 14.1424 Å, 90.00 90.00 90.00°
Closest atoms and distances in Å follow each position.
Sites, in units of the cell vectors:
Pu 0.0000 0.0000 0.3352  12 In 3.29-3.34
Pu 0.0000 0.0000 0.6648  12 In 3.29-3.34
In 0.5000 0.5000 0.0000  4 Pb 3.33, 8 In 3.40
In 0.5000 0.5000 0.3398  8 In 3.27-3.33, 4 Pu 3.34
In 0.5000 0.5000 0.6602  8 In 3.27-3.33, 4 Pu 3.34
In 0.5000 0.0000 0.1734  2 Pu 3.29, 8 In 3.33-3.40, 2 Pb 3.40
In 0.5000 0.0000 0.5000  8 In 3.27-3.33, 4 Pu 3.32
In 0.5000 0.0000 0.8266  2 Pu 3.29, 8 In 3.33-3.40, 2 Pb 3.40
In 0.0000 0.5000 0.1734  2 Pu 3.29, 8 In 3.33-3.40, 2 Pb 3.40
In 0.0000 0.5000 0.5000  8 In 3.27-3.33, 4 Pu 3.32
In 0.0000 0.5000 0.8266  2 Pu 3.29, 8 In 3.33-3.40, 2 Pb 3.40
Pb 0.0000 0.0000 0.0000  12 In 3.33-3.40